No. 1
VASP calculation (PBE) on an optimized crystal structure of PI3.

Output
Energy relative to the elements, uncorrected in kJ/mol of atoms: 41.4
Mass density in g cm⁻³: 3.50
V in Å³/cell: 391.1

a = 8.4680 Å, b = 8.4680 Å, c = 8.4680 Å
α = 125.14°, β = 125.14°, γ = 81.31°
Atoms (fractional coordinates):
P  0.0000  0.0000  0.0000
P  0.7500  0.2500  0.5000
I  0.2500  0.7500  0.5000
I  0.3750  0.2196  0.3446
I  0.5000  0.5000  0.0000
I  0.7804  0.1250  0.1554
I  0.8750  0.0304  0.6554
I  0.9696  0.6250  0.8446

No. 2
VASP calculation (PBE) on an optimized crystal structure of PI.

Output
Energy relative to the elements, uncorrected in kJ/mol of atoms: 88.4
Mass density in g cm⁻³: 2.79
V in Å³/cell: 376.2
Offset from the most stable computed form in eV per atom: 0.8777

a = 9.3422 Å, b = 9.3422 Å, c = 4.3109 Å
α = 90.00°, β = 90.00°, γ = 90.00°
Atoms (fractional coordinates):
P  0.1567  0.1567  0.0000
P  0.3433  0.6567  0.5000
P  0.6567  0.3433  0.5000
P  0.8433  0.8433  0.0000
I  0.2421  0.7579  0.0000
I  0.2579  0.2579  0.5000
I  0.7421  0.7421  0.5000
I  0.7579  0.2421  0.0000

No. 3
VASP calculation (PBE) on an optimized crystal structure of PI3.

Output
Energy relative to the elements, uncorrected in kJ/mol of atoms: 85.7
Mass density in g cm⁻³: 5.74
V in Å³/cell: 119.2

a = 5.5240 Å, b = 5.5240 Å, c = 5.5240 Å
α = 60.00°, β = 60.00°, γ = 60.00°
Atoms (fractional coordinates):
P  0.0000  0.0000  0.0000
I  0.2500  0.2500  0.2500
I  0.5000  0.5000  0.5000
I  0.7500  0.7500  0.7500

No. 4
VASP calculation (PBE) on an optimized crystal structure of PI.

Output
Energy relative to the elements, uncorrected in kJ/mol of atoms: 78.6
Mass density in g cm⁻³: 4.04
V in Å³/cell: 64.9
Offset from the most stable computed form in eV per atom: 0.7770

a = 3.7901 Å, b = 3.8166 Å, c = 4.8121 Å
α = 88.50°, β = 68.82°, γ = 89.75°
Atoms (fractional coordinates):
P  0.0000  0.0000  0.0000
I  0.6215  0.4753  0.8228

No. 5
VASP calculation (PBE) on an optimized crystal structure of PI3.

Output
Energy relative to the elements, uncorrected in kJ/mol of atoms: 18.5
Mass density in g cm⁻³: 3.79
V in Å³/cell: 180.5

a = 7.5364 Å, b = 7.5364 Å, c = 7.5364 Å
α = 151.06°, β = 69.75°, γ = 118.10°
Atoms (fractional coordinates):
P  0.0000  0.0000  0.0000
I  0.0123  0.3622  0.6502
I  0.2772  0.7772  0.5000
I  0.7120  0.3622  0.3498

No. 6
VASP calculation (PBE) on an optimized crystal structure of Pa2PI2.

Output
Energy relative to the elements, uncorrected in kJ/mol of atoms: -100.3
Mass density in g cm⁻³: 7.61
V in Å³/cell: 162.9

a = 11.4655 Å, b = 11.4655 Å, c = 11.4655 Å
α = 20.57°, β = 20.57°, γ = 20.57°
Atoms (fractional coordinates):
Pa  0.1256  0.1256  0.1256
Pa  0.8744  0.8744  0.8744
P  0.5000  0.5000  0.5000
I  0.2714  0.2714  0.2714
I  0.7286  0.7286  0.7286

No. 7
VASP calculation (PBE) on an optimized crystal structure of Pa2PI.

Output
Energy relative to the elements, uncorrected in kJ/mol of atoms: -68.4
Mass density in g cm⁻³: 10.00
V in Å³/cell: 102.9

a = 7.7781 Å, b = 7.7781 Å, c = 7.7781 Å
α = 29.80°, β = 29.80°, γ = 29.80°
Atoms (fractional coordinates):
Pa  0.2313  0.2313  0.2313
Pa  0.7687  0.7687  0.7687
P  0.5000  0.5000  0.5000
I  0.0000  0.0000  0.0000

No. 8
VASP calculation (PBE) on an optimized crystal structure of PaPI3.

Output
Energy relative to the elements, uncorrected in kJ/mol of atoms: -71.2
Mass density in g cm⁻³: 5.69
V in Å³/cell: 375.1

a = 7.8618 Å, b = 7.8618 Å, c = 8.4600 Å
α = 122.08°, β = 122.08°, γ = 75.46°
Atoms (fractional coordinates):
Pa  0.2457  0.2457  0.3703
Pa  0.7543  0.7543  0.6297
P  0.0497  0.0497  0.9352
P  0.9503  0.9503  0.0648
I  0.0286  0.4009  0.6629
I  0.4009  0.0286  0.6629
I  0.4267  0.4267  0.2203
I  0.5733  0.5733  0.7797
I  0.5991  0.9714  0.3371
I  0.9714  0.5991  0.3371